No. 1
{"formula": "Tb10PrTh4", "functional": "PBE", "state": "relaxed", "formation_energy_ev_per_fu": 5.5, "dft_energy_ha_per_atom": -0.1844, "mass_density_g_cm3": 8.690, "space_group": "No. 87", "cell": [[9.877, 0.000, 4.460], [4.939, 6.846, 2.230], [2.121, 0.000, 8.470]], "species": ["Tb", "Tb", "Tb", "Tb", "Tb", "Tb", "Tb", "Tb", "Tb", "Tb", "Th", "Th", "Th", "Th", "Pr"], "fractional_positions": [[0.250, 0.500, 0.500], [0.556, 0.905, 0.671], [0.869, 0.905, 0.671], [0.539, 0.329, 0.905], [0.227, 0.329, 0.905], [0.773, 0.671, 0.095], [0.444, 0.095, 0.329], [0.131, 0.095, 0.329], [0.750, 0.500, 0.500], [0.461, 0.671, 0.095], [0.064, 0.598, 0.274], [0.662, 0.274, 0.402], [0.936, 0.402, 0.726], [0.338, 0.726, 0.598], [0.000, 0.000, 0.000]]}

---

No. 2
{"formula": "Tb5Pr5Th2", "functional": "PBE", "state": "relaxed", "formation_energy_ev_per_fu": 0.5, "dft_energy_ha_per_atom": -0.1880, "mass_density_g_cm3": 8.032, "space_group": "No. 2", "cell": [[-5.600, 2.618, -1.036], [-5.894, -4.533, -4.864], [-1.968, -0.897, 8.639]], "species": ["Pr", "Pr", "Pr", "Pr", "Pr", "Tb", "Tb", "Tb", "Tb", "Tb", "Th", "Th"], "fractional_positions": [[0.993, 0.259, 0.754], [0.660, 0.257, 0.418], [0.007, 0.741, 0.246], [0.000, 0.000, 0.000], [0.340, 0.743, 0.582], [0.000, 0.500, 0.500], [0.661, 0.005, 0.669], [0.339, 0.995, 0.331], [0.668, 0.746, 0.917], [0.332, 0.254, 0.083], [0.338, 0.498, 0.838], [0.662, 0.502, 0.162]]}

---

No. 3
{"formula": "Tb4Pr3Th", "functional": "PBE", "state": "relaxed", "formation_energy_ev_per_fu": 1.1, "dft_energy_ha_per_atom": -0.1798, "mass_density_g_cm3": 7.918, "space_group": "No. 71", "e_above_lowest_polymorph_kj_per_mol_atoms": 8.4, "cell": [[3.356, 0.000, 0.869], [1.160, 8.623, 2.433], [-0.531, -1.022, 8.961]], "species": ["Pr", "Pr", "Pr", "Tb", "Tb", "Tb", "Tb", "Th"], "fractional_positions": [[0.231, 0.769, 0.769], [0.000, 0.500, 0.500], [0.769, 0.231, 0.231], [0.367, 0.384, 0.881], [0.633, 0.119, 0.616], [0.367, 0.881, 0.384], [0.633, 0.616, 0.119], [0.500, 0.000, 0.000]]}

---

No. 4
{"formula": "Tb4Pr4Th", "functional": "PBE", "state": "relaxed", "formation_energy_ev_per_fu": 0.3, "dft_energy_ha_per_atom": -0.1826, "mass_density_g_cm3": 7.779, "space_group": "No. 139", "cell": [[-1.530, 4.602, 1.767], [-4.827, 3.423, -5.553], [-6.888, -0.998, 4.173]], "species": ["Pr", "Pr", "Pr", "Pr", "Tb", "Tb", "Tb", "Tb", "Th"], "fractional_positions": [[0.337, 0.000, 0.327], [0.337, 0.327, 0.000], [0.663, 0.000, 0.673], [0.663, 0.673, 0.000], [0.000, 0.667, 0.333], [0.000, 0.333, 0.667], [0.667, 0.333, 0.333], [0.333, 0.667, 0.667], [0.000, 0.000, 0.000]]}

---

No. 5
{"formula": "Tb2PrTh", "functional": "PBE", "state": "relaxed", "formation_energy_ev_per_fu": 0.2, "dft_energy_ha_per_atom": -0.1958, "mass_density_g_cm3": 8.664, "space_group": "No. 160", "e_above_lowest_polymorph_kj_per_mol_atoms": 3.7, "cell": [[3.607, 0.000, 0.000], [1.803, 3.123, 0.000], [1.803, 1.041, 11.753]], "species": ["Pr", "Tb", "Tb", "Th"], "fractional_positions": [[0.667, 0.667, 0.000], [0.084, 0.084, 0.747], [0.249, 0.249, 0.253], [0.500, 0.500, 0.499]]}

---

No. 6
{"formula": "TbPr2Th3", "functional": "PBE", "state": "relaxed", "formation_energy_ev_per_fu": 1.2, "dft_energy_ha_per_atom": -0.2158, "mass_density_g_cm3": 9.324, "space_group": "No. 63", "cell": [[6.809, 0.000, 0.000], [0.000, 9.974, -5.713], [0.000, -2.415, 7.346]], "species": ["Th", "Th", "Th", "Th", "Th", "Th", "Pr", "Pr", "Pr", "Pr", "Tb", "Tb"], "fractional_positions": [[0.500, 0.834, 0.669], [0.500, 0.500, 0.000], [0.000, 0.834, 0.669], [0.000, 0.500, 0.000], [0.500, 0.166, 0.331], [0.000, 0.166, 0.331], [0.250, 0.897, 0.334], [0.750, 0.437, 0.334], [0.250, 0.563, 0.666], [0.750, 0.103, 0.666], [0.750, 0.771, 0.000], [0.250, 0.229, 0.000]]}

---

No. 7
{"formula": "Tb3Pr3Th", "functional": "PBE", "state": "relaxed", "formation_energy_ev_per_fu": 0.9, "dft_energy_ha_per_atom": -0.1822, "mass_density_g_cm3": 7.705, "space_group": "No. 11", "cell": [[3.607, 0.000, 0.000], [0.000, 10.254, -5.045], [0.000, -4.672, 15.486]], "species": ["Tb", "Tb", "Tb", "Tb", "Tb", "Tb", "Pr", "Pr", "Pr", "Pr", "Pr", "Pr", "Th", "Th"], "fractional_positions": [[0.750, 0.106, 0.847], [0.750, 0.153, 0.422], [0.250, 0.431, 0.671], [0.750, 0.569, 0.329], [0.250, 0.847, 0.578], [0.250, 0.894, 0.153], [0.250, 0.838, 0.890], [0.250, 0.440, 0.885], [0.250, 0.343, 0.364], [0.750, 0.162, 0.110], [0.750, 0.657, 0.636], [0.750, 0.560, 0.115], [0.750, 0.139, 0.629], [0.250, 0.861, 0.371]]}

---

No. 8
{"formula": "Tb2Pr4Th", "functional": "PBE", "state": "relaxed", "formation_energy_ev_per_fu": 2.0, "dft_energy_ha_per_atom": -0.1773, "mass_density_g_cm3": 7.497, "space_group": "No. 74", "e_above_lowest_polymorph_kj_per_mol_atoms": 18.7, "cell": [[6.843, 0.000, 0.000], [3.422, 8.408, -1.209], [3.422, 1.594, 8.344]], "species": ["Pr", "Pr", "Pr", "Pr", "Pr", "Pr", "Pr", "Pr", "Th", "Th", "Tb", "Tb", "Tb", "Tb"], "fractional_positions": [[0.153, 0.350, 0.343], [0.764, 0.761, 0.261], [0.214, 0.761, 0.261], [0.847, 0.650, 0.657], [0.153, 0.843, 0.850], [0.236, 0.239, 0.739], [0.786, 0.239, 0.739], [0.847, 0.157, 0.150], [0.500, 0.500, 0.000], [0.000, 0.500, 0.000], [0.721, 0.029, 0.529], [0.500, 0.500, 0.500], [0.279, 0.971, 0.471], [0.500, 0.000, 0.000]]}